No. 1
Here is LaSc2Pt2 after structural relaxation from the Alexandria database. Energies are from PBEsol.

The structure belongs to space group I4/mmm (No. 139); the cell edges are 4.3962, 4.3962 and 11.4362 Å and the angles 90.00°, 90.00° and 90.00°. The asymmetric unit holds La at (0.0000, 0.0000, 0.0000), Sc at (0.0000, 0.5000, 0.2500) and Pt at (0.0000, 0.0000, 0.3837).

As for the crystal system: tetragonal. The value obtained for the formation enthalpy at 0 K is -0.977 eV/atom. The total DFT energy (no corrections) is -74.74 eV/cell.

=====

No. 2
Here is LaSc2SnPt after structural relaxation from the Alexandria database. Energies are from PBEsol.

The structure belongs to space group P4/mmm (No. 123); the cell edges are 5.0956, 5.0956 and 5.3922 Å and the angles 90.00°, 90.00° and 90.00°. The asymmetric unit holds La at (0.0000, 0.0000, 0.0000), Sc at (0.0000, 0.5000, 0.5000), Sn at (0.5000, 0.5000, 0.0000) and Pt at (0.0000, 0.0000, 0.5000).

As for the crystal system: tetragonal. The value obtained for the formation enthalpy at 0 K is -0.490 eV/atom. The total DFT energy (no corrections) is -32.23 eV/cell.

=====

No. 3
Here is LaScTe2Pt after structural relaxation from the Alexandria database. Energies are from PBEsol.

The structure belongs to space group P4/mmm (No. 123); the cell edges are 5.9336, 5.9336 and 5.0499 Å and the angles 90.00°, 90.00° and 90.00°. The asymmetric unit holds La at (0.0000, 0.0000, 0.0000), Sc at (0.5000, 0.5000, 0.5000), Te at (0.0000, 0.5000, 0.0000) and Pt at (0.0000, 0.0000, 0.5000).

As for the crystal system: tetragonal. As for the energy relative to the elements, uncorrected: 0.15 eV per atom. The total DFT energy (no corrections) is -25.23 eV/cell.

=====

No. 4
Here is La2PtSe after structural relaxation from the Alexandria database. Energies are from PBEsol.

The structure belongs to space group P4/mmm (No. 123); the cell edges are 4.2308, 4.2308 and 6.0408 Å and the angles 90.00°, 90.00° and 90.00°. The asymmetric unit holds La at (0.0000, 0.0000, 0.0000), La at (0.5000, 0.5000, 0.5000), Pt at (0.0000, 0.0000, 0.5000) and Se at (0.5000, 0.5000, 0.0000).

As for the crystal system: tetragonal. As for the energy relative to the elements, uncorrected: -1.46 eV per atom. The total DFT energy (no corrections) is -27.34 eV/cell.

=====

No. 5
Here is LaPtSe2 after structural relaxation from the Alexandria database. Energies are from PBEsol.

The structure belongs to space group Fmmm (No. 69); the cell edges are 5.6391, 7.1955 and 9.0645 Å and the angles 90.00°, 90.00° and 90.00°. The asymmetric unit holds La at (0.0000, 0.0000, 0.0000), Pt at (0.0000, 0.0000, 0.5000) and Se at (0.0000, 0.2500, 0.2500).

For the energy above the lowest structure with this stoichiometry, the calculation gives 237 meV/atom. As for the crystal system: orthorhombic. As for the energy relative to the elements, uncorrected: -0.84 eV per atom. The total DFT energy (no corrections) is -93.55 eV/cell.

=====

No. 6
Here is La2PtSe after structural relaxation from the Alexandria database. Energies are from PBEsol.

The structure belongs to space group R-3m (No. 166, hexagonal axes); the cell edges are 4.1398, 4.1398 and 22.0834 Å and the angles 90.00°, 90.00° and 120.00°. The asymmetric unit holds La at (0.0000, 0.0000, 0.2438), Pt at (0.0000, 0.0000, 0.5000) and Se at (0.0000, 0.0000, 0.0000).

As for the crystal system: trigonal. As for the energy relative to the elements, uncorrected: -1.49 eV per atom. The total DFT energy (no corrections) is -82.34 eV/cell.